[1]
Compound: NbVIn3
Source: Alexandria
Functional: PBE-GGA
Structure: relaxed

POSCAR file:
```
NbVIn3
1.0
5.0598 0.0000 0.0000
0.0000 5.0598 0.0000
0.0000 0.0000 5.0598
In Nb V
3 1 1
Direct
0.0000 0.5000 0.0000
0.5000 0.0000 0.0000
0.0000 0.0000 0.5000
0.5000 0.5000 0.5000
0.0000 0.0000 0.0000
```

Output
The excess energy over the best structure of this formula in the dataset comes out at 0.0 meV/atom. For the energy of formation, the calculation gives 1.040 eV/atom.

[2]
Compound: NbV2In2
Source: Alexandria
Functional: PBE-GGA
Structure: relaxed

POSCAR file:
```
NbV2In2
1.0
-5.6012 4.8757 -2.5607
2.4855 -1.0211 -7.3812
-1.8377 -2.2712 -0.3046
Nb In V
2 4 4
Direct
0.5000 0.5000 0.0000
0.0000 0.0000 0.0000
0.3118 0.1882 0.5000
0.6882 0.8118 0.5000
0.1882 0.6882 0.5000
0.8118 0.3118 0.5000
0.3945 0.8945 0.0000
0.1055 0.3945 0.0000
0.8945 0.6055 0.0000
0.6055 0.1055 0.0000
```

Output
For the energy of formation, the calculation gives 0.390 eV/atom.

[3]
Compound: Nb3V4In
Source: Alexandria
Functional: PBE-GGA
Structure: relaxed

POSCAR file:
```
Nb3V4In
1.0
-0.0811 3.9428 2.2034
-5.0027 -2.0138 3.4193
5.6125 -3.3658 6.2293
Nb V In
6 8 2
Direct
0.4998 0.0000 0.7500
0.5003 0.5000 0.2500
0.5002 0.0000 0.2500
0.0000 0.0000 0.5000
0.0000 0.0000 0.0000
0.4997 0.5000 0.7500
0.5000 0.2308 0.0000
0.5000 0.7692 0.0000
0.5000 0.7692 0.5000
0.0005 0.7691 0.2500
0.5000 0.2308 0.5000
0.0005 0.2309 0.2500
0.9995 0.2309 0.7500
0.9995 0.7691 0.7500
0.0000 0.5000 0.0000
0.0000 0.5000 0.5000
```

Output
For the energy of formation, the calculation gives 0.056 eV/atom.

[4]
Compound: Nb6VIn
Source: Alexandria
Functional: PBE-GGA
Structure: relaxed

POSCAR file:
```
Nb6VIn
1.0
7.4337 0.0080 0.1087
3.7107 6.4496 0.0624
3.6699 2.1523 3.0960
V Nb In
1 6 1
Direct
0.0000 0.0000 0.0000
0.7581 0.9996 0.7430
0.5002 0.2418 0.2574
0.2419 0.0004 0.2570
0.0009 0.5005 0.2566
0.4998 0.7582 0.7426
0.9991 0.4995 0.7434
0.5000 0.5000 0.5000
```

Output
For the energy of formation, the calculation gives 0.002 eV/atom.